# 1
A plane-wave DFT calculation with PBE was carried out for Pr2NdEr8 after structural relaxation.

For the formation energy from the elements, the calculation gives 0.1748 eV/atom. As for the energy above the lowest structure with this stoichiometry: 15 meV per atom. The total magnetic moment is 0.01 Bohr magnetons per cell. For the volume, the calculation gives 32.698 Å³ per atom.

The structure belongs to space group C2/m (No. 12); the cell edges are 16.560, 6.607 and 6.670 Å and the angles 90.00°, 99.71° and 90.00°. Symmetry generates all atoms from Pr at (0.245, 0.000, 0.307), Nd at (0.000, 0.000, 0.000), Er at (0.087, 0.262, 0.405), Er at (0.088, 0.500, 0.905) and Er at (0.203, 0.000, 0.800).

***

# 2
A plane-wave DFT calculation with PBE was carried out for BaFe3Pb after structural relaxation.

For the formation energy from the elements, the calculation gives 2.0496 eV/atom. As for the energy above the lowest structure with this stoichiometry: 963 meV per atom. The total magnetic moment is 8.28 Bohr magnetons per cell. For the volume, the calculation gives 26.607 Å³ per atom.

The structure belongs to space group Pm-3m (No. 221); the cell edges are 5.105, 5.105 and 5.105 Å and the angles 90.00°, 90.00° and 90.00°. Symmetry generates all atoms from Ba at (0.000, 0.000, 0.000), Fe at (0.000, 0.000, 0.500) and Pb at (0.500, 0.500, 0.500).

***

# 3
A plane-wave DFT calculation with PBE was carried out for CsRb2Ag after structural relaxation.

For the formation energy from the elements, the calculation gives 0.0734 eV/atom. As for the energy above the lowest structure with this stoichiometry: 27 meV per atom. The total magnetic moment is 0.00 Bohr magnetons per cell. For the volume, the calculation gives 67.862 Å³ per atom.

The structure belongs to space group P4/mmm (No. 123); the cell edges are 4.629, 4.629 and 12.669 Å and the angles 90.00°, 90.00° and 90.00°. Symmetry generates all atoms from Cs at (0.000, 0.000, 0.000), Rb at (0.500, 0.500, 0.341) and Ag at (0.000, 0.000, 0.500).

***

# 4
A plane-wave DFT calculation with PBE was carried out for KRb2ZnAu2 after structural relaxation.

For the formation energy from the elements, the calculation gives -0.1889 eV/atom. The total magnetic moment is 0.00 Bohr magnetons per cell. For the volume, the calculation gives 35.827 Å³ per atom.

The structure belongs to space group Pmc2_1 (No. 26); the cell edges are 4.624, 9.721 and 9.565 Å and the angles 90.00°, 90.00° and 90.00°. Symmetry generates all atoms from K at (0.000, 0.073, 0.000), Rb at (0.000, 0.284, 0.428), Rb at (0.500, 0.414, 0.089), Zn at (0.500, 0.227, 0.752), Au at (0.000, 0.357, 0.788) and Au at (0.500, 0.049, 0.261).